Record 1
A PBEsol-optimized structure of BaCo2W. Source: Alexandria, functional meta-GGA SCAN.

Computed properties:
For the spin magnetization, the calculation gives 2.1 μB per formula unit. The value obtained for the density of states at the Fermi level is 3.0 states/eV/f.u. Its total energy is -34.330 eV/atom. The value obtained for the calculated volume is 64.60 Å³/cell. Its energy relative to the elements is 1.631 eV per atom. The calculation puts the distance to the lowest polymorph of the same formula at 2.98 eV per formula unit.

Cell lengths 4.504, 4.504, 4.504 Å; angles 60.00, 60.00, 60.00 degrees
Each line ends with the local moment (μB).
Atoms (fractional coordinates):
Co (0.000, 0.000, 0.000)  1.15
Ba (0.500, 0.500, 0.500)  -0.08
W (0.250, 0.250, 0.250)  -0.55
Co (0.750, 0.750, 0.750)  1.69

Record 2
A PBEsol-optimized structure of BaCoW2. Source: Alexandria, functional meta-GGA SCAN.

Computed properties:
For the spin magnetization, the calculation gives 0.9 μB per formula unit. The value obtained for the density of states at the Fermi level is 3.0 states/eV/f.u. Its total energy is -47.523 eV/atom. The value obtained for the calculated volume is 79.18 Å³/cell. Its energy relative to the elements is 1.535 eV per atom. The calculation puts the distance to the lowest polymorph of the same formula at 1.77 eV per formula unit.

Cell lengths 3.011, 5.590, 5.675 Å; angles 119.51, 105.39, 90.00 degrees
Each line ends with the local moment (μB).
Atoms (fractional coordinates):
W (0.292, 0.792, 0.583)  -0.23
Co (0.711, 0.211, 0.421)  1.35
W (0.008, 0.008, 0.016)  -0.04
Ba (0.490, 0.490, 0.980)  -0.03

Record 3
A PBEsol-optimized structure of BaCoW2. Source: Alexandria, functional meta-GGA SCAN.

Computed properties:
For the spin magnetization, the calculation gives 2.0 μB per formula unit. The value obtained for the density of states at the Fermi level is 3.6 states/eV/f.u. Its total energy is -47.965 eV/atom. The value obtained for the calculated volume is 74.22 Å³/cell. Its energy relative to the elements is 1.093 eV per atom. The calculation puts the distance to the lowest polymorph of the same formula at 0.00 eV per formula unit.

Cell lengths 2.879, 2.879, 8.955 Å; angles 90.00, 90.00, 91.37 degrees
Each line ends with the local moment (μB).
Atoms (fractional coordinates):
W (0.000, 0.000, 0.825)  0.13
W (0.000, 0.000, 0.175)  0.13
Co (0.500, 0.500, 0.000)  1.67
Ba (0.500, 0.500, 0.500)  -0.01

Record 4
A PBEsol-optimized structure of BaCoW2. Source: Alexandria, functional meta-GGA SCAN.

Computed properties:
For the spin magnetization, the calculation gives 1.6 μB per formula unit. The value obtained for the density of states at the Fermi level is 3.5 states/eV/f.u. Its total energy is -47.939 eV/atom. The value obtained for the calculated volume is 88.36 Å³/cell. Its energy relative to the elements is 1.118 eV per atom. The calculation puts the distance to the lowest polymorph of the same formula at 0.10 eV per formula unit.

Cell lengths 3.129, 4.240, 6.809 Å; angles 90.00, 101.98, 90.00 degrees
Each line ends with the local moment (μB).
Atoms (fractional coordinates):
W (0.199, 0.000, 0.359)  0.04
W (0.801, 0.000, 0.641)  0.04
Co (0.000, 0.500, 0.500)  1.70
Ba (0.500, 0.500, 0.000)  -0.03

Record 5
A PBEsol-optimized structure of Ba2CoW. Source: Alexandria, functional meta-GGA SCAN.

Computed properties:
For the spin magnetization, the calculation gives 4.8 μB per formula unit. The value obtained for the density of states at the Fermi level is 3.7 states/eV/f.u. Its total energy is -39.872 eV/atom. The value obtained for the calculated volume is 97.14 Å³/cell. Its energy relative to the elements is 1.652 eV per atom.

Cell lengths 5.160, 5.160, 5.160 Å; angles 60.00, 60.00, 60.00 degrees
Each line ends with the local moment (μB).
Atoms (fractional coordinates):
Ba (0.000, 0.000, 0.000)  0.20
Ba (0.750, 0.750, 0.750)  0.08
W (0.250, 0.250, 0.250)  1.91
Co (0.500, 0.500, 0.500)  2.01

Record 6
A PBEsol-optimized structure of BaY2Co. Source: Alexandria, functional meta-GGA SCAN.

Computed properties:
For the spin magnetization, the calculation gives 1.6 μB per formula unit. The value obtained for the density of states at the Fermi level is 3.8 states/eV/f.u. Its total energy is -27.545 eV/atom. The value obtained for the calculated volume is 106.54 Å³/cell. Its energy relative to the elements is 0.590 eV per atom. The calculation puts the distance to the lowest polymorph of the same formula at 2.02 eV per formula unit.

Cell lengths 4.569, 4.569, 5.104 Å; angles 90.00, 90.00, 90.00 degrees
Each line ends with the local moment (μB).
Atoms (fractional coordinates):
Y (0.500, 0.000, 0.000)  -0.17
Y (0.000, 0.500, 0.000)  -0.17
Ba (0.500, 0.500, 0.500)  0.00
Co (0.000, 0.000, 0.500)  1.97

Record 7
A PBEsol-optimized structure of BaY2Co. Source: Alexandria, functional meta-GGA SCAN.

Computed properties:
For the spin magnetization, the calculation gives 0.0 μB per formula unit. The value obtained for the density of states at the Fermi level is 3.1 states/eV/f.u. Its total energy is -28.050 eV/atom. The value obtained for the calculated volume is 125.21 Å³/cell. Its energy relative to the elements is 0.085 eV per atom. The calculation puts the distance to the lowest polymorph of the same formula at 0.00 eV per formula unit.

Cell lengths 3.921, 3.921, 9.674 Å; angles 78.31, 78.31, 60.00 degrees
Atoms (fractional coordinates):
Co (0.000, 0.000, 0.000)
Y (0.285, 0.285, 0.145)
Ba (0.500, 0.500, 0.500)
Y (0.715, 0.715, 0.855)

Record 8
A PBEsol-optimized structure of BaY2Co. Source: Alexandria, functional meta-GGA SCAN.

Computed properties:
For the spin magnetization, the calculation gives 0.0 μB per formula unit. The value obtained for the density of states at the Fermi level is 4.6 states/eV/f.u. Its total energy is -27.878 eV/atom. The value obtained for the calculated volume is 121.22 Å³/cell. Its energy relative to the elements is 0.257 eV per atom. The calculation puts the distance to the lowest polymorph of the same formula at 0.69 eV per formula unit.

Cell lengths 3.773, 3.773, 8.515 Å; angles 90.00, 90.00, 90.00 degrees
Atoms (fractional coordinates):
Y (0.000, 0.000, 0.923)
Ba (0.000, 0.000, 0.532)
Co (0.500, 0.500, 0.869)
Y (0.500, 0.500, 0.176)

Record 9
A PBEsol-optimized structure of BaYCo2. Source: Alexandria, functional meta-GGA SCAN.

Computed properties:
For the spin magnetization, the calculation gives 2.5 μB per formula unit. The value obtained for the density of states at the Fermi level is 2.6 states/eV/f.u. Its total energy is -24.748 eV/atom. The value obtained for the calculated volume is 81.48 Å³/cell. Its energy relative to the elements is 0.752 eV per atom. The calculation puts the distance to the lowest polymorph of the same formula at 0.15 eV per formula unit.

Cell lengths 3.986, 3.986, 5.853 Å; angles 109.91, 109.91, 90.00 degrees
Each line ends with the local moment (μB).
Atoms (fractional coordinates):
Y (0.500, 0.500, 0.000)  -0.29
Co (0.750, 0.250, 0.500)  1.43
Co (0.000, 0.000, 0.000)  1.69
Ba (0.250, 0.750, 0.500)  -0.14

Record 10
A PBEsol-optimized structure of Ba2YCo. Source: Alexandria, functional meta-GGA SCAN.

Computed properties:
For the spin magnetization, the calculation gives 1.4 μB per formula unit. The value obtained for the density of states at the Fermi level is 5.3 states/eV/f.u. Its total energy is -30.375 eV/atom. The value obtained for the calculated volume is 136.45 Å³/cell. Its energy relative to the elements is 0.687 eV per atom. The calculation puts the distance to the lowest polymorph of the same formula at 0.00 eV per formula unit.

Cell lengths 3.887, 3.887, 10.668 Å; angles 79.50, 79.50, 60.00 degrees
Each line ends with the local moment (μB).
Atoms (fractional coordinates):
Co (0.500, 0.500, 0.500)  1.49
Y (0.000, 0.000, 0.000)  0.31
Ba (0.772, 0.772, 0.683)  -0.14
Ba (0.228, 0.228, 0.317)  -0.14

- The lowest energy relative to the elements belongs to which entry?
  number 7

What did the sixth record say?
A PBEsol-optimized structure of BaY2Co. Source: Alexandria, functional meta-GGA SCAN.

Computed properties:
For the spin magnetization, the calculation gives 1.6 μB per formula unit. The value obtained for the density of states at the Fermi level is 3.8 states/eV/f.u. Its total energy is -27.545 eV/atom. The value obtained for the calculated volume is 106.54 Å³/cell. Its energy relative to the elements is 0.590 eV per atom. The calculation puts the distance to the lowest polymorph of the same formula at 2.02 eV per formula unit.

Cell lengths 4.569, 4.569, 5.104 Å; angles 90.00, 90.00, 90.00 degrees
Each line ends with the local moment (μB).
Atoms (fractional coordinates):
Y (0.500, 0.000, 0.000)  -0.17
Y (0.000, 0.500, 0.000)  -0.17
Ba (0.500, 0.500, 0.500)  0.00
Co (0.000, 0.000, 0.500)  1.97